Material: MgRe4Rh
Method: DFT, GGA-PBE
State: optimized geometry

Lattice parameters (Å, degrees): 7.3327 7.3327 7.3327 90.00 90.00 90.00
Space group F-43m (No. 216)
One atom of each set of equivalent atoms:
Mg 0.0000 0.0000 0.0000 [4 per cell]
Re 0.1252 0.1252 0.6252 [16 per cell]
Rh 0.2500 0.2500 0.2500 [4 per cell]

Calculated volume ... 394 Å³ per cell
E_tot ... -9.422 eV per atom
Magnetic moment ... 0.0 μB per cell
Energy of formation ... 0.3673 eV per atom